4
Lattice="-0.8460 1.7910 2.3504 0.8541 -3.0578 2.6375 3.8726 2.0130 -2.1498" Properties=species:S:1:pos:R:3 comment="MnZnTc2, PBEsol geometry, DFT meta-GGA SCAN" ef_mev_per_atom=-1.6 crystal_system=orthorhombic pbc="T T T"
Tc 2.0060 0.0791 2.6716
Tc 1.8747 0.6672 0.1664
Mn -0.4230 0.8955 1.1752
Zn 0.4270 -1.5289 1.3187

=====

3
Lattice="2.8708 0.0000 0.0000 0.0000 2.8708 0.0000 -1.4354 -1.4354 4.5762" Properties=species:S:1:pos:R:3 comment="MnZnTc, PBEsol geometry, DFT meta-GGA SCAN" ef_mev_per_atom=24.7 crystal_system=tetragonal relative_energy_mev_per_atom=0 pbc="T T T"
Zn 0.0000 0.0000 3.1182
Mn 0.0000 0.0000 0.0796
Tc 1.4354 1.4354 1.3785

=====

3
Lattice="-2.7714 -0.1024 -2.9320 0.9389 -1.5377 -3.6113 -1.5777 -3.5279 -1.1632" Properties=species:S:1:pos:R:3 comment="MnZnTc, PBEsol geometry, DFT meta-GGA SCAN" ef_mev_per_atom=521.1 crystal_system=cubic relative_energy_mev_per_atom=496 pbc="T T T"
Mn 0.0000 0.0000 0.0000
Zn -0.8525 -1.2920 -1.9266
Tc -1.7050 -2.5840 -3.8533

=====

Q: Number 2 is which compound?
A: MnZnTc